1.
A plane-wave DFT calculation with PBE was carried out for an optimized crystal structure of Tb2DyPa.

## Properties
Energy of formation: 0.282 eV/atom
SG: No. 166
Total energy: -5.557 eV per atom
Calculated volume: 117.99 Å³ per cell
Energy above the most stable polymorph in this dataset: 0.165 eV per atom
Spin magnetization: 0.00 μB/f.u.

Cell and atoms, written as extended XYZ:
```
4
Lattice="1.668 0.963 12.238 -1.668 0.963 12.238 0.000 -1.926 12.238" Properties=species:S:1:pos:R:3 pbc="T T T"
Tb 0.000 0.000 3.207
Tb 0.000 0.000 33.508
Dy 0.000 0.000 18.357
Pa 0.000 0.000 0.000
```

=====

2.
A plane-wave DFT calculation with PBE was carried out for an optimized crystal structure of LiCaTl2Hg.

## Properties
Energy of formation: -0.148 eV/atom
SG: No. 123
Total energy: -1.938 eV per atom
Calculated volume: 133.07 Å³ per cell
Spin magnetization: 0.00 μB/f.u.

Cell and atoms, written as extended XYZ:
```
5
Lattice="5.136 0.000 0.000 0.000 5.136 0.000 0.000 0.000 5.045" Properties=species:S:1:pos:R:3 pbc="T T T"
Li 0.000 0.000 0.000
Ca 2.568 2.568 2.522
Tl 0.000 2.568 0.000
Tl 2.568 0.000 0.000
Hg 0.000 0.000 2.522
```

=====

3.
A plane-wave DFT calculation with PBE was carried out for an optimized crystal structure of BeSnRu3.

## Properties
Energy of formation: 2.093 eV/atom
SG: No. 221
Total energy: -5.018 eV per atom
Calculated volume: 113.74 Å³ per cell
Energy above the most stable polymorph in this dataset: 1.799 eV per atom
Spin magnetization: 3.99 μB/f.u.

Cell and atoms, written as extended XYZ:
```
5
Lattice="4.845 0.000 0.000 0.000 4.845 0.000 0.000 0.000 4.845" Properties=species:S:1:pos:R:3 pbc="T T T"
Be 0.000 0.000 0.000
Sn 2.423 2.423 2.423
Ru 0.000 2.423 2.423
Ru 2.423 0.000 2.423
Ru 2.423 2.423 0.000
```

=====

4.
A plane-wave DFT calculation with PBE was carried out for an optimized crystal structure of Tb3MgBi2.

## Properties
Energy of formation: -0.443 eV/atom
SG: No. 15
Total energy: -4.318 eV per atom
Calculated volume: 368.91 Å³ per cell
Spin magnetization: 0.00 μB/f.u.

Cell and atoms, written as extended XYZ:
```
12
Lattice="7.095 -3.206 0.000 7.095 3.206 0.000 -2.615 0.000 8.110" Properties=species:S:1:pos:R:3 pbc="T T T"
Tb 5.134 1.926 6.082
Tb 3.465 0.034 3.321
Tb 2.157 -0.034 7.376
Tb 9.418 0.034 0.734
Tb 8.111 -0.034 4.788
Tb 6.442 -1.926 2.027
Mg 6.442 1.159 2.027
Mg 5.134 -1.159 6.082
Bi 1.925 0.035 0.589
Bi 0.617 -0.035 4.644
Bi 10.958 0.035 3.466
Bi 9.651 -0.035 7.520
```

=====

5.
A plane-wave DFT calculation with PBE was carried out for an optimized crystal structure of LaSc2MoIr.

## Properties
Energy of formation: 0.070 eV/atom
SG: No. 123
Total energy: -7.387 eV per atom
Calculated volume: 125.80 Å³ per cell
Spin magnetization: 0.59 μB/f.u.

Cell and atoms, written as extended XYZ:
```
5
Lattice="5.005 0.000 0.000 0.000 5.005 0.000 0.000 0.000 5.023" Properties=species:S:1:pos:R:3 pbc="T T T"
La 0.000 0.000 0.000
Sc 0.000 2.502 2.512
Sc 2.502 0.000 2.512
Mo 2.502 2.502 0.000
Ir 2.502 2.502 2.512
```

=====

6.
A plane-wave DFT calculation with PBE was carried out for an optimized crystal structure of LiTb4Ir2.

## Properties
Energy of formation: -0.567 eV/atom
SG: No. 5
Total energy: -6.018 eV per atom
Calculated volume: 332.48 Å³ per cell
Energy above the most stable polymorph in this dataset: 0.042 eV per atom
Spin magnetization: 0.00 μB/f.u.

Cell and atoms, written as extended XYZ:
```
14
Lattice="7.832 -3.405 0.000 7.832 3.405 0.000 -2.890 0.000 6.234" Properties=species:S:1:pos:R:3 pbc="T T T"
Li 0.005 0.000 2.687
Li 12.769 0.000 3.547
Tb 3.201 0.748 1.774
Tb 1.849 0.772 4.873
Tb 7.832 1.490 0.000
Tb 6.387 0.827 3.117
Tb 10.925 0.772 1.361
Tb 9.573 0.748 4.460
Tb 6.347 -1.634 0.864
Tb 6.427 -1.634 5.370
Ir -0.364 -0.908 5.378
Ir 4.080 -0.792 4.087
Ir 8.693 -0.792 2.147
Ir 13.138 -0.908 0.856
```

=====

7.
A plane-wave DFT calculation with PBE was carried out for an optimized crystal structure of Tb2PrHf.

## Properties
Energy of formation: 0.170 eV/atom
SG: No. 123
Total energy: -5.828 eV per atom
Calculated volume: 118.40 Å³ per cell
Energy above the most stable polymorph in this dataset: 0.044 eV per atom
Spin magnetization: 0.00 μB/f.u.

Cell and atoms, written as extended XYZ:
```
4
Lattice="4.889 0.000 0.000 0.000 4.889 0.000 0.000 0.000 4.953" Properties=species:S:1:pos:R:3 pbc="T T T"
Tb 0.000 2.445 0.000
Tb 2.445 0.000 0.000
Pr 0.000 0.000 2.477
Hf 2.445 2.445 2.477
```

=====

8.
A plane-wave DFT calculation with PBE was carried out for an optimized crystal structure of Dy2Ho5ErMg.

## Properties
Energy of formation: 0.106 eV/atom
SG: No. 36
Total energy: -4.144 eV per atom
Calculated volume: 556.89 Å³ per cell
Spin magnetization: 0.00 μB/f.u.

Cell and atoms, written as extended XYZ:
```
18
Lattice="2.685 -9.975 0.000 2.685 9.975 0.000 0.000 0.000 10.396" Properties=species:S:1:pos:R:3 pbc="T T T"
Dy 2.685 7.687 5.198
Dy 2.685 7.686 9.622
Dy 2.685 -7.687 0.000
Dy 2.685 -7.686 4.424
Ho 2.685 9.699 2.211
Ho 2.685 4.206 5.329
Ho 2.685 4.196 9.487
Ho 2.685 2.350 2.212
Ho 2.685 -0.006 4.805
Ho 2.685 0.006 10.003
Ho 2.685 -2.350 7.409
Ho 2.685 -4.196 4.289
Ho 2.685 -4.206 0.131
Ho 2.685 -9.699 7.409
Er 2.685 5.868 2.211
Er 2.685 -5.868 7.409
Mg 2.685 1.901 7.396
Mg 2.685 -1.901 2.198
```

=====

9.
A plane-wave DFT calculation with PBE was carried out for an optimized crystal structure of BHS2.

## Properties
SG: No. 225
Total energy: -3.164 eV per atom
Calculated volume: 40.14 Å³ per cell
Energy above the most stable polymorph in this dataset: 1.684 eV per atom
Spin magnetization: 0.00 μB/f.u.

Cell and atoms, written as extended XYZ:
```
4
Lattice="0.000 2.718 2.718 2.718 0.000 2.718 2.718 2.718 0.000" Properties=species:S:1:pos:R:3 pbc="T T T"
B 0.000 0.000 0.000
H 2.718 2.718 2.718
S 1.359 1.359 1.359
S 4.077 4.077 4.077
```

=====

10.
A plane-wave DFT calculation with PBE was carried out for an optimized crystal structure of Rb2YSiI6.

## Properties
SG: No. 139
Total energy: -3.258 eV per atom
Calculated volume: 474.63 Å³ per cell
Spin magnetization: 1.00 μB/f.u.

Cell and atoms, written as extended XYZ:
```
10
Lattice="-4.205 4.205 6.712 4.205 -4.205 6.712 4.205 4.205 -6.712" Properties=species:S:1:pos:R:3 pbc="T T T"
Rb 4.205 0.000 3.356
Rb 0.000 4.205 3.356
Y 0.000 0.000 0.000
Si 0.000 0.000 6.712
I 0.000 0.000 3.028
I 2.142 2.142 0.000
I 2.062 -2.062 6.712
I -2.062 2.062 6.712
I 2.062 2.062 6.712
I 0.000 0.000 10.396
```

=====

11.
A plane-wave DFT calculation with PBE was carried out for an optimized crystal structure of Er12Ni6Pd.

## Properties
Energy of formation: -0.383 eV/atom
SG: No. 204
Total energy: -5.364 eV per atom
Calculated volume: 431.29 Å³ per cell
Energy above the most stable polymorph in this dataset: 0.000 eV per atom
Spin magnetization: 0.00 μB/f.u.

Cell and atoms, written as extended XYZ:
```
19
Lattice="-4.760 4.760 4.760 4.760 -4.760 4.760 4.760 4.760 -4.760" Properties=species:S:1:pos:R:3 pbc="T T T"
Er 4.760 -1.904 2.995
Er 2.856 1.764 0.000
Er 6.663 1.764 0.000
Er 2.995 4.760 -1.904
Er 1.764 0.000 2.856
Er 0.000 2.856 1.764
Er 4.760 1.904 2.995
Er 2.995 4.760 1.904
Er 1.764 0.000 6.663
Er -1.904 2.995 4.760
Er 1.904 2.995 4.760
Er 0.000 6.663 1.764
Ni 4.760 0.000 1.202
Ni 4.760 3.558 0.000
Ni 1.202 4.760 0.000
Ni 3.558 0.000 4.760
Ni 0.000 1.202 4.760
Ni 0.000 4.760 3.558
Pd 0.000 0.000 0.000
```

=====

12.
A plane-wave DFT calculation with PBE was carried out for an optimized crystal structure of Ac2NiSn4Au3.

## Properties
Energy of formation: -0.587 eV/atom
SG: No. 115
Total energy: -4.571 eV per atom
Calculated volume: 250.97 Å³ per cell
Spin magnetization: 0.00 μB/f.u.

Cell and atoms, written as extended XYZ:
```
10
Lattice="4.697 0.000 0.000 0.000 4.697 0.000 0.000 0.000 11.374" Properties=species:S:1:pos:R:3 pbc="T T T"
Ac 0.000 2.349 2.635
Ac 2.349 0.000 8.739
Ni 2.349 2.349 0.000
Sn 0.000 0.000 5.687
Sn 0.000 2.349 10.044
Sn 2.349 0.000 1.330
Sn 2.349 2.349 5.687
Au 0.000 0.000 0.000
Au 0.000 2.349 7.328
Au 2.349 0.000 4.047
```

=====

Which of these has the lowest total energy? LaSc2MoIr

=====

Which value of total energy does entry 1 give? -5.557 eV per atom